1.
Pm2NdDy2Y | GGA-PBE | relaxed

The structure belongs to space group Pnnm (No. 58); the cell edges are 6.652, 18.040 and 3.414 Å and the angles 90.00°, 90.00° and 90.00°. The distinct sites, in fractional coordinates, are Pm at (0.230, 0.186, 0.000), Nd at (0.000, 0.500, 0.000), Dy at (0.228, 0.352, 0.500) and Y at (0.000, 0.000, 0.000).



2.
Pm2NdDyY2 | GGA-PBE | relaxed

The structure belongs to space group Pnnm (No. 58); the cell edges are 6.659, 17.846 and 3.427 Å and the angles 90.00°, 90.00° and 90.00°. The distinct sites, in fractional coordinates, are Pm at (0.226, 0.149, 0.000), Nd at (0.000, 0.500, 0.500), Dy at (0.000, 0.000, 0.500) and Y at (0.230, 0.319, 0.500).



3.
Pm3NdDy6Y2 | GGA-PBE | relaxed

The structure belongs to space group C2/m (No. 12); the cell edges are 6.215, 10.760 and 11.871 Å and the angles 90.00°, 100.01° and 90.00°. The distinct sites, in fractional coordinates, are Pm at (0.000, 0.000, 0.000), Pm at (0.000, 0.333, 0.000), Nd at (0.000, 0.500, 0.500), Dy at (0.250, 0.000, 0.749), Dy at (0.250, 0.167, 0.251) and Y at (0.000, 0.167, 0.500).



4.
PmNd2DyY2 | GGA-PBE | relaxed

The structure belongs to space group Pnnm (No. 58); the cell edges are 6.669, 18.088 and 3.414 Å and the angles 90.00°, 90.00° and 90.00°. The distinct sites, in fractional coordinates, are Pm at (0.000, 0.000, 0.000), Nd at (0.230, 0.183, 0.000), Dy at (0.000, 0.500, 0.000) and Y at (0.225, 0.352, 0.500).



| no. | density of states at the Fermi level (states/eV per cell) | ΔE_f (eV/atom) |
| --- | --- | --- |
| 1 | 20.266 | 0.26 |
| 2 | 18.752 | 0.25 |
| 3 | 31.113 | 0.02 |
| 4 | 21.511 | 0.27 |